No. 1
DFT (PBE-GGA) results for an optimized crystal structure of Pm5SmEr4.

Properties
Energy of formation from the pure elements   0.037 eV per atom
Offset from the most stable computed form   0 meV per atom
Total magnetic moment   0.00 μB per cell

Cell and atoms, written as extended XYZ:
```
10
Lattice="8.557 -1.775 0.000 8.557 1.775 0.000 -3.724 0.000 10.834" Properties=species:S:1:pos:R:3 pbc="T T T"
Pm 0.000 0.000 0.000
Pm 1.653 0.000 9.580
Pm 3.747 0.000 4.576
Pm 9.643 0.000 6.259
Pm 11.737 0.000 1.255
Sm -1.862 0.000 5.417
Er 0.686 0.000 3.213
Er 6.366 0.000 2.261
Er 7.024 0.000 8.573
Er 12.704 0.000 7.621
```

---

No. 2
DFT (PBE-GGA) results for an optimized crystal structure of BaLiMg2.

Properties
Energy of formation from the pure elements   0.195 eV per atom
Offset from the most stable computed form   240 meV per atom
Total magnetic moment   0.00 μB per cell

Cell and atoms, written as extended XYZ:
```
4
Lattice="1.906 1.100 10.279 -1.906 1.100 10.279 0.000 -2.200 10.279" Properties=species:S:1:pos:R:3 pbc="T T T"
Ba 0.000 0.000 0.000
Li 0.000 0.000 7.239
Mg 0.000 0.000 15.445
Mg 0.000 0.000 23.529
```

---

No. 3
DFT (PBE-GGA) results for an optimized crystal structure of KHfSb.

Properties
Formation energy from raw total energies   -0.305 eV/atom
Total magnetic moment   0.00 μB per cell

Cell and atoms, written as extended XYZ:
```
6
Lattice="4.573 0.000 0.000 0.000 4.573 0.000 0.000 0.000 9.241" Properties=species:S:1:pos:R:3 pbc="T T T"
K 1.143 1.143 1.330
K 3.430 3.430 7.912
Hf 1.143 3.430 4.621
Hf 3.430 1.143 4.621
Sb 1.143 1.143 6.470
Sb 3.430 3.430 2.771
```